1.
A plane-wave DFT calculation with PBE was carried out for crystalline Ce3NpU4P8 at its relaxed geometry.

The space group is R-3m (No. 166, hexagonal axes) and the conventional cell measures 7.9478, 7.9478 and 19.8714 Å, with angles of 90.00, 90.00 and 120.00 degrees. Symmetry generates all atoms from Ce at (0.0000, 0.5000, 0.0000), Np at (0.0000, 0.0000, 0.0000), U at (0.0000, 0.0000, 0.5000), U at (0.0000, 0.5000, 0.5000), P at (0.0000, 0.0000, 0.2461) and P at (0.0041, 0.5021, 0.7528).

The total energy comes out at -8.59 eV per atom. As for the density of states at the Fermi level: 2.501 states/eV/atom. Its energy of formation is -18.27 eV per formula unit.

2.
A plane-wave DFT calculation with PBE was carried out for crystalline Eu2Ta2O7 at its relaxed geometry.

The space group is Cmcm (No. 63) and the conventional cell measures 3.994, 27.475 and 5.693 Å, with angles of 90.00, 90.00 and 90.00 degrees. Symmetry generates all atoms from Eu at (0.000, 0.056, 0.250), Eu at (0.000, 0.217, 0.750), Ta at (0.000, 0.341, 0.750), Ta at (0.000, 0.446, 0.250), O at (0.000, 0.048, 0.750), O at (0.000, 0.151, 0.250), O at (0.000, 0.293, 0.508), O at (0.000, 0.400, 0.512) and O at (0.000, 0.500, 0.000).

The total energy comes out at -10.21 eV per atom. The raw formation energy is -3.030 eV per atom. As for the density of states at the Fermi level: 2.218 states/eV/atom.

3.
A plane-wave DFT calculation with PBE was carried out for crystalline HoErTh3 at its relaxed geometry.

The space group is R-3 (No. 148, hexagonal axes) and the conventional cell measures 9.7044, 9.7044 and 11.8426 Å, with angles of 90.00, 90.00 and 120.00 degrees. Symmetry generates all atoms from Ho at (0.0000, 0.0000, 0.1252), Er at (0.0000, 0.0000, 0.3748) and Th at (0.9998, 0.3351, 0.7501).

The total energy comes out at -5.94 eV per atom. As for the density of states at the Fermi level: 1.691 states/eV/atom. Its energy of formation is 1.68 eV per formula unit.

4.
A plane-wave DFT calculation with PBE was carried out for crystalline Re2TeSe at its relaxed geometry.

The space group is R3m (No. 160, hexagonal axes) and the conventional cell measures 3.0831, 3.0831 and 29.8592 Å, with angles of 90.00, 90.00 and 120.00 degrees. Symmetry generates all atoms from Re at (0.0000, 0.0000, 0.0000), Re at (0.0000, 0.0000, 0.2622), Te at (0.0000, 0.0000, 0.7368) and Se at (0.0000, 0.0000, 0.5359).

The total energy comes out at -7.58 eV per atom. The raw formation energy is 0.304 eV per atom. As for the density of states at the Fermi level: 0.629 states/eV/atom.

5.
A plane-wave DFT calculation with PBE was carried out for crystalline TiSbRhI2 at its relaxed geometry.

The space group is P4/mmm (No. 123) and the conventional cell measures 5.307, 5.307 and 5.396 Å, with angles of 90.00, 90.00 and 90.00 degrees. Symmetry generates all atoms from Ti at (0.000, 0.000, 0.000), Sb at (0.000, 0.000, 0.500), Rh at (0.500, 0.500, 0.500) and I at (0.000, 0.500, 0.000).

The total energy comes out at -3.78 eV per atom. The raw formation energy is 0.711 eV per atom. As for the density of states at the Fermi level: 2.423 states/eV/atom.

6.
A plane-wave DFT calculation with PBE was carried out for crystalline MnOsW2 at its relaxed geometry.

The space group is Cmmm (No. 65) and the conventional cell measures 5.554, 7.571 and 2.814 Å, with angles of 90.00, 90.00 and 90.00 degrees. Symmetry generates all atoms from Mn at (0.000, 0.000, 0.000), Os at (0.000, 0.500, 0.000) and W at (0.250, 0.250, 0.500).

The total energy comes out at -11.41 eV per atom. As for the density of states at the Fermi level: 0.941 states/eV/atom. Its energy of formation is 0.67 eV per formula unit.

7.
A plane-wave DFT calculation with PBE was carried out for crystalline Mn6AlPd12 at its relaxed geometry.

The space group is R-3 (No. 148, hexagonal axes) and the conventional cell measures 10.0004, 10.0004 and 9.5147 Å, with angles of 90.00, 90.00 and 120.00 degrees. Symmetry generates all atoms from Mn at (0.0082, 0.7940, 0.0050), Al at (0.0000, 0.0000, 0.5000), Pd at (0.0366, 0.5380, 0.1314) and Pd at (0.0881, 0.1889, 0.7488).

The total energy comes out at -6.30 eV per atom. As for the density of states at the Fermi level: 0.835 states/eV/atom. Its energy of formation is 1.46 eV per formula unit.

8.
A plane-wave DFT calculation with PBE was carried out for crystalline BaPRu at its relaxed geometry.

The space group is F-43m (No. 216) and the conventional cell measures 6.597, 6.597 and 6.597 Å, with angles of 90.00, 90.00 and 90.00 degrees. Symmetry generates all atoms from Ba at (0.000, 0.000, 0.000), P at (0.000, 0.000, 0.500) and Ru at (0.250, 0.250, 0.250).

The total energy comes out at -5.17 eV per atom. As for the density of states at the Fermi level: 1.134 states/eV/atom. Its energy of formation is 1.09 eV per formula unit.

9.
A plane-wave DFT calculation with PBE was carried out for crystalline Nd6Tl5In at its relaxed geometry.

The space group is Cmmm (No. 65) and the conventional cell measures 5.530, 16.598 and 7.761 Å, with angles of 90.00, 90.00 and 90.00 degrees. Symmetry generates all atoms from Nd at (0.000, 0.000, 0.249), Nd at (0.000, 0.334, 0.250), Tl at (0.000, 0.167, 0.000), Tl at (0.000, 0.167, 0.500), Tl at (0.000, 0.500, 0.500) and In at (0.000, 0.500, 0.000).

The total energy comes out at -4.01 eV per atom. As for the density of states at the Fermi level: 0.764 states/eV/atom. Its energy of formation is -4.89 eV per formula unit.

10.
A plane-wave DFT calculation with PBE was carried out for crystalline ScSnPdPt at its relaxed geometry.

The space group is F-43m (No. 216) and the conventional cell measures 6.597, 6.597 and 6.597 Å, with angles of 90.00, 90.00 and 90.00 degrees. Symmetry generates all atoms from Sc at (0.000, 0.000, 0.000), Sn at (0.000, 0.000, 0.500), Pd at (0.250, 0.250, 0.750) and Pt at (0.250, 0.250, 0.250).

The total energy comes out at -6.30 eV per atom. As for the density of states at the Fermi level: 0.726 states/eV/atom. Its energy of formation is -3.64 eV per formula unit.

11.
A plane-wave DFT calculation with PBE was carried out for crystalline VReN at its relaxed geometry.

The space group is P4/nmm (No. 129, origin choice 2) and the conventional cell measures 2.895, 2.895 and 7.812 Å, with angles of 90.00, 90.00 and 90.00 degrees. Symmetry generates all atoms from V at (0.250, 0.250, 0.144), Re at (0.250, 0.250, 0.612) and N at (0.250, 0.250, 0.874).

The total energy comes out at -10.65 eV per atom. The raw formation energy is -0.687 eV per atom. As for the density of states at the Fermi level: 0.717 states/eV/atom.

12.
A plane-wave DFT calculation with PBE was carried out for crystalline K2ZrCo at its relaxed geometry.

The space group is Cmmm (No. 65) and the conventional cell measures 3.355, 5.150 and 12.380 Å, with angles of 90.00, 90.00 and 90.00 degrees. Symmetry generates all atoms from K at (0.000, 0.000, 0.219), Zr at (0.000, 0.500, 0.500) and Co at (0.000, 0.500, 0.000).

The total energy comes out at -3.35 eV per atom. As for the density of states at the Fermi level: 1.298 states/eV/atom. Its energy of formation is 4.44 eV per formula unit.

13.
A plane-wave DFT calculation with PBE was carried out for crystalline YPa2CuO8 at its relaxed geometry.

The space group is P-3m1 (No. 164) and the conventional cell measures 5.3391, 5.3391 and 6.0712 Å, with angles of 90.00, 90.00 and 120.00 degrees. Symmetry generates all atoms from Y at (0.0000, 0.0000, 0.0000), Pa at (0.3333, 0.6667, 0.3804), Cu at (0.0000, 0.0000, 0.5000), O at (0.1697, 0.3394, 0.6855) and O at (0.3333, 0.6667, 0.0707).

The total energy comes out at -8.20 eV per atom. The raw formation energy is -2.435 eV per atom. As for the density of states at the Fermi level: 0.231 states/eV/atom.

14.
A plane-wave DFT calculation with PBE was carried out for crystalline In2OsO6 at its relaxed geometry.

The space group is P4_2/mnm (No. 136) and the conventional cell measures 4.806, 4.806 and 9.943 Å, with angles of 90.00, 90.00 and 90.00 degrees. Symmetry generates all atoms from In at (0.000, 0.000, 0.168), Os at (0.000, 0.000, 0.500), O at (0.186, 0.186, 0.349) and O at (0.224, 0.224, 0.000).

The total energy comes out at -6.41 eV per atom. The raw formation energy is -1.247 eV per atom. As for the density of states at the Fermi level: 0.298 states/eV/atom.

15.
A plane-wave DFT calculation with PBE was carried out for crystalline InBr2Cl at its relaxed geometry.

The space group is Cmmm (No. 65) and the conventional cell measures 5.177, 14.235 and 3.891 Å, with angles of 90.00, 90.00 and 90.00 degrees. Symmetry generates all atoms from In at (0.000, 0.000, 0.000), Br at (0.000, 0.132, 0.500) and Cl at (0.000, 0.500, 0.000).

The total energy comes out at -2.83 eV per atom. The raw formation energy is -0.844 eV per atom. As for the density of states at the Fermi level: 0.000 states/eV/atom.

16.
A plane-wave DFT calculation with PBE was carried out for crystalline LaMg2Ru at its relaxed geometry.

The space group is Pm (No. 6) and the conventional cell measures 3.423, 3.444 and 7.787 Å, with angles of 90.00, 93.60 and 90.00 degrees. Symmetry generates all atoms from La at (0.000, 0.000, 0.000), Mg at (0.056, 0.000, 0.599), Mg at (0.528, 0.500, 0.358) and Ru at (0.568, 0.500, 0.769).

The total energy comes out at -4.42 eV per atom. As for the density of states at the Fermi level: 0.719 states/eV/atom. Its energy of formation is -0.28 eV per formula unit.

17.
A plane-wave DFT calculation with PBE was carried out for crystalline LaMoSe3 at its relaxed geometry.

The space group is Pm-3m (No. 221) and the conventional cell measures 4.972, 4.972 and 4.972 Å, with angles of 90.00, 90.00 and 90.00 degrees. Symmetry generates all atoms from La at (0.000, 0.000, 0.000), Mo at (0.500, 0.500, 0.500) and Se at (0.000, 0.500, 0.500).

The total energy comes out at -5.96 eV per atom. The raw formation energy is -0.713 eV per atom. As for the density of states at the Fermi level: 1.109 states/eV/atom.

18.
A plane-wave DFT calculation with PBE was carried out for crystalline Sc3Mn at its relaxed geometry.

The space group is P-6m2 (No. 187) and the conventional cell measures 3.2055, 3.2055 and 9.6139 Å, with angles of 90.00, 90.00 and 120.00 degrees. Symmetry generates all atoms from Sc at (0.0000, 0.0000, 0.0000), Sc at (0.3333, 0.6667, 0.2790) and Mn at (0.0000, 0.0000, 0.5000).

The total energy comes out at -6.92 eV per atom. As for the density of states at the Fermi level: 1.210 states/eV/atom. Its energy of formation is 0.50 eV per formula unit.

19.
A plane-wave DFT calculation with PBE was carried out for crystalline CeInGa2 at its relaxed geometry.

The space group is P4/mmm (No. 123) and the conventional cell measures 3.647, 3.647 and 6.894 Å, with angles of 90.00, 90.00 and 90.00 degrees. Symmetry generates all atoms from Ce at (0.000, 0.000, 0.000), In at (0.000, 0.000, 0.500) and Ga at (0.500, 0.500, 0.284).

The total energy comes out at -3.93 eV per atom. As for the density of states at the Fermi level: 1.749 states/eV/atom. Its energy of formation is -0.99 eV per formula unit.

20.
A plane-wave DFT calculation with PBE was carried out for crystalline Sr8CuNi2 at its relaxed geometry.

The space group is P-1 (No. 2) and the conventional cell measures 6.433, 9.302 and 9.317 Å, with angles of 119.94, 90.01 and 90.00 degrees. Symmetry generates all atoms from Sr at (0.248, 0.333, 0.166), Sr at (0.251, 0.322, 0.661), Sr at (0.251, 0.838, 0.660), Sr at (0.251, 0.840, 0.178), Cu at (0.500, 0.000, 0.500) and Ni at (0.254, 0.667, 0.834).

The total energy comes out at -2.49 eV per atom. As for the density of states at the Fermi level: 0.693 states/eV/atom. Its energy of formation is 1.76 eV per formula unit.